(1)
Entry from the Open Quantum Materials Database: a relaxed structure of CuAg (PBE).

abc: 4.940 4.940 11.047
angles: 96.58 96.58 33.74
Positions (direct):
Ag (0.072, 0.072, 0.233)
Ag (0.928, 0.928, 0.767)
Ag (0.787, 0.787, 0.119)
Ag (0.500, 0.500, 0.000)
Ag (0.213, 0.213, 0.881)
Cu (0.369, 0.369, 0.334)
Cu (0.000, 0.000, 0.500)
Cu (0.687, 0.687, 0.422)
Cu (0.313, 0.313, 0.578)
Cu (0.631, 0.631, 0.666)

Summary:
Formation enthalpy at 0 K: 0.056 eV per atom
Uncorrected energy: -3.215 eV per atom

---

(2)
Entry from the Open Quantum Materials Database: a relaxed structure of CuAg (PBE).

abc: 7.327 7.327 4.786
angles: 96.15 96.15 141.93
Positions (direct):
Cu (0.408, 0.592, 0.000)
Cu (0.597, 0.403, 0.000)
Cu (0.900, 0.100, 0.500)
Cu (0.700, 0.300, 0.500)
Cu (0.996, 0.004, 0.000)
Ag (0.302, 0.698, 0.500)
Ag (0.195, 0.805, 0.000)
Ag (0.096, 0.904, 0.500)
Ag (0.804, 0.196, 0.000)
Ag (0.501, 0.499, 0.500)

Summary:
Formation enthalpy at 0 K: 0.105 eV per atom
Uncorrected energy: -3.166 eV per atom

---

(3)
Entry from the Open Quantum Materials Database: a relaxed structure of CuAg (PBE).

abc: 21.936 21.936 21.936
angles: 7.37 7.37 7.37
Positions (direct):
Cu (0.299, 0.299, 0.299)
Cu (0.203, 0.203, 0.203)
Cu (0.099, 0.099, 0.099)
Cu (0.995, 0.995, 0.995)
Cu (0.603, 0.603, 0.603)
Ag (0.696, 0.696, 0.696)
Ag (0.903, 0.903, 0.903)
Ag (0.503, 0.503, 0.503)
Ag (0.400, 0.400, 0.400)
Ag (0.799, 0.799, 0.799)

Summary:
Formation enthalpy at 0 K: 0.103 eV per atom
Uncorrected energy: -3.167 eV per atom

---

(4)
Entry from the Open Quantum Materials Database: a relaxed structure of CuAg (PBE).

abc: 21.962 21.962 21.962
angles: 7.35 7.35 7.35
Positions (direct):
Cu (0.304, 0.304, 0.304)
Cu (0.096, 0.096, 0.096)
Cu (0.000, 0.000, 0.000)
Cu (0.904, 0.904, 0.904)
Cu (0.696, 0.696, 0.696)
Ag (0.604, 0.604, 0.604)
Ag (0.796, 0.796, 0.796)
Ag (0.204, 0.204, 0.204)
Ag (0.500, 0.500, 0.500)
Ag (0.396, 0.396, 0.396)

Summary:
Formation enthalpy at 0 K: 0.103 eV per atom
Uncorrected energy: -3.168 eV per atom